PmTiRu2 after structural relaxation, computed with PBE.

Values from the calculation:
- size of the total moment (μB/cell) = 0.00
- space-group type = P4/mmm
- calculated density (g/cm³) = 9.248
- formation enthalpy at 0 K (eV/atom) = -0.34
- ΔE to the lowest computed polymorph (meV/atom) = 0

abc: 3.2230 3.2230 6.8279
angles: 90.00 90.00 90.00
Element x y z (fractional)
Pm1 0.5000 0.5000 0.5000
Ru1 0.0000 0.0000 0.7884
Ru2 0.0000 0.0000 0.2116
Ti1 0.5000 0.5000 0.0000